Material: Tb8Pm4Dy3
Method: DFT, GGA-PBE
State: relaxed

Properties
**Excess energy over the best structure of this formula in the dataset**: 0.2439 eV per atom
**V**: 505.8 Å³/cell
**Magnetization**: 0.00 μB per cell
**Raw total energy**: -4.289 eV per atom
**Formation energy**: 0.37 eV/atom

Geometry as POSCAR:
```
Tb8Pm4Dy3
1.0
6.726 -6.408 0.000
6.726 6.408 0.000
-3.406 0.000 5.868
Tb Pm Dy
8 4 3
Cartesian
6.726 4.613 0.000
1.519 0.000 2.695
-0.209 0.000 5.791
5.023 3.272 2.934
5.023 -3.272 2.934
10.256 0.000 0.077
8.528 0.000 3.173
6.726 -4.613 0.000
1.660 3.204 2.934
1.660 -3.204 2.934
6.726 0.000 0.000
5.023 0.000 2.934
-1.703 0.000 2.934
3.363 3.204 0.000
3.363 -3.204 0.000
```